A plane-wave DFT calculation with PBE-GGA was carried out for a relaxed CaMg3Cu2 crystal.

Lattice parameters (Å, degrees): 7.722 7.722 5.164 90.00 90.00 124.04
Element x y z (fractional)
Cu (0.172, 0.172, 0.000)
Cu (0.828, 0.828, 0.500)
Cu (0.172, 0.172, 0.500)
Cu (0.828, 0.828, 0.000)
Mg (0.847, 0.153, 0.750)
Mg (0.943, 0.597, 0.750)
Mg (0.597, 0.943, 0.250)
Mg (0.153, 0.847, 0.250)
Mg (0.403, 0.057, 0.750)
Mg (0.057, 0.403, 0.250)
Ca (0.599, 0.401, 0.250)
Ca (0.401, 0.599, 0.750)

Calculated values
* space-group type: No. 63
* M_tot: 0.000 μB per atom
* DFT formation energy: -66 meV/atom